Record 1
Material: SrTl2Tc
Method: DFT, PBE
State: optimized geometry

a = 3.7135 Å, b = 3.7135 Å, c = 7.8656 Å
α = 90.00°, β = 90.00°, γ = 90.00°
Last column: nearest neighbours and their distance in Å.
Positions (direct):
Sr 0.0000 0.0000 0.5330  1 Tl 3.20, 4 Tc 3.48
Tc 0.5000 0.5000 0.8236  5 Tl 2.78-2.99
Tl 0.0000 0.0000 0.9393  4 Tc 2.78
Tl 0.5000 0.5000 0.2041  1 Tc 2.99, 4 Tl 3.35

## Properties
electronic total energy	-3.771	eV per atom
size of the total moment	0.070	μB/atom

***

Record 2
Material: RbSr2H2
Method: DFT, PBE
State: optimized geometry

a = 4.1879 Å, b = 4.1879 Å, c = 10.7506 Å
α = 78.77°, β = 78.77°, γ = 90.00°
Last column: nearest neighbours and their distance in Å.
Positions (direct):
Sr 0.3138 0.3138 0.3723  4 H 2.48
Sr 0.6862 0.6862 0.6277  4 H 2.48
Rb 0.0000 0.0000 0.0000  4 Rb 4.19
H 0.7500 0.2500 0.5000  4 Sr 2.48
H 0.2500 0.7500 0.5000  4 Sr 2.48

## Properties
electronic total energy	-2.463	eV per atom
size of the total moment	0.129	μB/atom

***

Record 3
Material: TiBe3Ir4
Method: DFT, PBE
State: optimized geometry

a = 4.0717 Å, b = 5.8555 Å, c = 8.1435 Å
α = 90.00°, β = 90.00°, γ = 90.00°
Last column: nearest neighbours and their distance in Å.
Positions (direct):
Be 0.0000 0.0000 0.0000  8 Ir 2.46
Be 0.0000 0.0000 0.5000  8 Ir 2.46
Be 0.5001 0.0000 0.7500  8 Ir 2.46
Be 0.4999 0.0000 0.2500  8 Ir 2.46
Be 0.5002 0.5000 0.7500  8 Ir 2.56
Be 0.4998 0.5000 0.2500  8 Ir 2.56
Ir 0.5000 0.7654 0.0000  6 Be 2.46-2.56, 2 Ti 2.56, 1 Ir 2.75
Ir 0.5000 0.7654 0.5000  6 Be 2.46-2.56, 2 Ti 2.56, 1 Ir 2.75
Ir 0.5000 0.2346 0.0000  6 Be 2.46-2.56, 2 Ti 2.56, 1 Ir 2.75
Ir 0.5000 0.2346 0.5000  6 Be 2.46-2.56, 2 Ti 2.56, 1 Ir 2.75
Ir 0.0000 0.7654 0.7500  6 Be 2.46-2.56, 2 Ti 2.56, 1 Ir 2.75
Ir 0.0000 0.7654 0.2500  6 Be 2.46-2.56, 2 Ti 2.56, 1 Ir 2.75
Ir 0.0000 0.2346 0.2500  6 Be 2.46-2.56, 2 Ti 2.56, 1 Ir 2.75
Ir 0.0000 0.2346 0.7500  6 Be 2.46-2.56, 2 Ti 2.56, 1 Ir 2.75
Ti 0.0000 0.5000 0.0000  8 Ir 2.56
Ti 0.0000 0.5000 0.5000  8 Ir 2.56

## Properties
electronic total energy	-7.515	eV per atom
size of the total moment	0.000	μB/atom

***

Record 4
Material: AcMg5Pt3
Method: DFT, PBE
State: optimized geometry

a = 4.1858 Å, b = 7.4443 Å, c = 12.9132 Å
α = 90.00°, β = 90.00°, γ = 106.33°
Last column: nearest neighbours and their distance in Å.
Positions (direct):
Ac 0.8360 0.6720 0.7500  6 Pt 3.30-3.57
Ac 0.1640 0.3280 0.2500  6 Pt 3.30-3.57
Mg 0.8012 0.6024 0.4446  4 Pt 2.66-2.83, 3 Mg 2.93
Mg 0.1988 0.3976 0.9446  4 Pt 2.66-2.83, 3 Mg 2.93
Mg 0.0000 0.0000 0.5000  4 Pt 2.77, 6 Mg 2.93
Mg 0.0000 0.0000 0.0000  4 Pt 2.77, 6 Mg 2.93
Mg 0.4374 0.8748 0.1427  4 Pt 2.70-2.75, 3 Mg 2.77-2.93
Mg 0.5626 0.1252 0.8572  4 Pt 2.70-2.75, 3 Mg 2.77-2.93
Mg 0.5626 0.1252 0.6428  4 Pt 2.70-2.75, 3 Mg 2.77-2.93
Mg 0.8012 0.6024 0.0554  4 Pt 2.66-2.83, 3 Mg 2.93
Mg 0.1988 0.3976 0.5554  4 Pt 2.66-2.83, 3 Mg 2.93
Mg 0.4374 0.8748 0.3572  4 Pt 2.70-2.75, 3 Mg 2.77-2.93
Pt 0.3851 0.7702 0.9400  7 Mg 2.66-2.83
Pt 0.8668 0.7336 0.2500  6 Mg 2.68-2.70
Pt 0.3851 0.7702 0.5600  7 Mg 2.66-2.83
Pt 0.6149 0.2298 0.4400  7 Mg 2.66-2.83
Pt 0.1332 0.2664 0.7500  6 Mg 2.68-2.70
Pt 0.6149 0.2298 0.0600  7 Mg 2.66-2.83

## Properties
electronic total energy	-4.088	eV per atom
size of the total moment	0.000	μB/atom

***

Record 5
Material: La2BeTl
Method: DFT, PBE
State: optimized geometry

a = 6.2560 Å, b = 6.2560 Å, c = 6.2560 Å
α = 144.89°, β = 130.58°, γ = 62.06°
Last column: nearest neighbours and their distance in Å.
Positions (direct):
Be 0.7210 0.2210 0.5000  2 Tl 2.61
Tl 0.5522 0.5522 0.0000  2 Be 2.61
La 0.9676 0.9676 0.0000  2 Be 3.25, 4 Tl 3.35, 2 La 3.44
La 0.2592 0.7592 0.5000  4 Be 3.25, 2 Tl 3.43, 2 La 3.44

## Properties
electronic total energy	-4.043	eV per atom
size of the total moment	0.000	μB/atom

***

Record 6
Material: Pm3Pr4Sm
Method: DFT, PBE
State: optimized geometry

a = 3.5420 Å, b = 6.9944 Å, c = 12.1349 Å
α = 106.69°, β = 98.39°, γ = 90.00°
Last column: nearest neighbours and their distance in Å.
Positions (direct):
Pr 0.7415 0.2385 0.4829  7 Pr 3.54-3.90, 3 Pm 3.58-3.64
Pr 0.2585 0.7615 0.5171  7 Pr 3.54-3.90, 3 Pm 3.58-3.64
Pr 0.1238 0.3667 0.2475  3 Pm 3.36-3.60, 5 Pr 3.54-3.66, 2 Sm 3.76
Pr 0.8762 0.6333 0.7525  3 Pm 3.36-3.60, 5 Pr 3.54-3.66, 2 Sm 3.76
Sm 0.5000 0.0000 0.0000  2 Sm 3.54, 8 Pm 3.75-3.92, 4 Pr 3.76
Pm 0.0000 0.5000 0.0000  2 Pr 3.36, 4 Pm 3.37-3.54
Pm 0.1236 0.8817 0.2471  3 Pm 3.37-3.54, 5 Pr 3.39-3.64, 2 Sm 3.75
Pm 0.8764 0.1183 0.7529  3 Pm 3.37-3.54, 5 Pr 3.39-3.64, 2 Sm 3.75

## Properties
electronic total energy	-4.612	eV per atom
size of the total moment	0.000	μB/atom

***

Record 7
Material: KBa2Se
Method: DFT, PBE
State: optimized geometry

a = 4.5825 Å, b = 4.5825 Å, c = 12.2807 Å
α = 79.26°, β = 79.26°, γ = 60.09°
Last column: nearest neighbours and their distance in Å.
Positions (direct):
Ba 0.9700 0.9700 0.0889  3 Se 3.28
Ba 0.5300 0.5300 0.4111  3 Se 3.28
K 0.7500 0.7500 0.7500  6 K 4.58-4.59, 6 Ba 4.85
Se 0.2500 0.2500 0.2500  6 Ba 3.28

## Properties
electronic total energy	-3.031	eV per atom
size of the total moment	0.000	μB/atom
E_form (uncorrected)	-0.92	eV per atom

***

Record 8
Material: Li2Tl3SbCl9
Method: DFT, PBE
State: optimized geometry

a = 7.2374 Å, b = 7.2374 Å, c = 9.0867 Å
α = 90.00°, β = 90.00°, γ = 120.00°
Last column: nearest neighbours and their distance in Å.
Positions (direct):
Li 0.3333 0.6667 0.1247  3 Cl 2.38
Li 0.6667 0.3333 0.8753  3 Cl 2.38
Tl 0.3333 0.6667 0.7303  3 Cl 3.22, 1 Li 3.58
Tl 0.0000 0.0000 0.0000  12 Cl 3.62-3.71
Tl 0.6667 0.3333 0.2697  3 Cl 3.22, 1 Li 3.58
Sb 0.0000 0.0000 0.5000  6 Cl 2.54
Cl 0.8350 0.1650 0.6616  1 Sb 2.54
Cl 0.8350 0.6699 0.6616  1 Sb 2.54
Cl 0.3301 0.1650 0.6616  1 Sb 2.54
Cl 0.6699 0.8350 0.3384  1 Sb 2.54
Cl 0.1650 0.3301 0.3384  1 Sb 2.54
Cl 0.1650 0.8350 0.3384  1 Sb 2.54
Cl 0.5000 0.0000 0.0000  2 Li 2.38
Cl 0.0000 0.5000 0.0000  2 Li 2.38
Cl 0.5000 0.5000 0.0000  2 Li 2.38

## Properties
electronic total energy	-3.230	eV per atom
size of the total moment	0.000	μB/atom
E_form (uncorrected)	-1.12	eV per atom